Computed, not measured: an optimized crystal structure of La2ScBr at the PBE level of DFT.

Structure (CIF):
```
data_La2ScBr
_cell_length_a 3.6048
_cell_length_b 3.6048
_cell_length_c 9.4337
_cell_angle_alpha 90.00
_cell_angle_beta 90.00
_cell_angle_gamma 90.00
_space_group_name_H-M_alt 'P 1'
_space_group_IT_number 1
loop_
_space_group_symop_operation_xyz
'x,y,z'
loop_
_atom_site_label
_atom_site_type_symbol
_atom_site_fract_x
_atom_site_fract_y
_atom_site_fract_z
_atom_site_occupancy
Br1 Br 0.5000 0.5000 0.7500 1
Sc1 Sc 0.5000 0.5000 0.2500 1
La1 La 0.0000 0.0000 0.9925 1
La2 La 0.0000 0.0000 0.5075 1
```

SG = P4/mmm (123)
Formation energy without anion corrections = -0.475 eV per atom

---

Computed, not measured: an optimized crystal structure of LaSc2Br at the PBE level of DFT.

Structure (CIF):
```
data_LaSc2Br
_cell_length_a 6.4911
_cell_length_b 6.4911
_cell_length_c 6.4911
_cell_angle_alpha 149.32
_cell_angle_beta 127.96
_cell_angle_gamma 61.63
_space_group_name_H-M_alt 'P 1'
_space_group_IT_number 1
loop_
_space_group_symop_operation_xyz
'x,y,z'
loop_
_atom_site_label
_atom_site_type_symbol
_atom_site_fract_x
_atom_site_fract_y
_atom_site_fract_z
_atom_site_occupancy
Br1 Br 0.4754 0.4754 0.0000 1
Sc1 Sc 0.0211 0.0211 0.0000 1
La1 La 0.7302 0.2302 0.5000 1
Sc2 Sc 0.2732 0.7732 0.5000 1
```

SG = Imm2 (44)
Formation energy without anion corrections = -0.211 eV per atom

---

Computed, not measured: an optimized crystal structure of LaSc2Br at the PBE level of DFT.

Structure (CIF):
```
data_LaSc2Br
_cell_length_a 3.4409
_cell_length_b 3.4409
_cell_length_c 9.1269
_cell_angle_alpha 90.00
_cell_angle_beta 90.00
_cell_angle_gamma 90.00
_space_group_name_H-M_alt 'P 1'
_space_group_IT_number 1
loop_
_space_group_symop_operation_xyz
'x,y,z'
loop_
_atom_site_label
_atom_site_type_symbol
_atom_site_fract_x
_atom_site_fract_y
_atom_site_fract_z
_atom_site_occupancy
Sc1 Sc 0.5000 0.5000 0.2562 1
La1 La 0.5000 0.5000 0.7375 1
Sc2 Sc 0.0000 0.0000 0.0272 1
Br1 Br 0.0000 0.0000 0.4791 1
```

SG = P4mm (99)
Formation energy without anion corrections = -0.388 eV per atom

---

Offset from the most stable computed form values, unit meV per atom, following the record order: 36 255 78.
Energy values, unit eV per formula unit, following the record order: -19.8 -20.1 -20.8.